No. 1
# MgH2Pd2 | Alexandria | PBE-GGA | relaxed
# ρ: 7.30 Mg/m³
# E: -4.087 eV/atom
# Relative energy among the computed polymorphs: 0.048 eV/atom
# Calculated volume: 54 Å³/f.u.
# Space-group type: P2_1/c (14)
data_MgH2Pd2
_cell_length_a 5.593
_cell_length_b 5.542
_cell_length_c 7.099
_cell_angle_alpha 90.00
_cell_angle_beta 98.44
_cell_angle_gamma 90.00
_symmetry_space_group_name_H-M 'P 1'
_symmetry_Int_Tables_number 1
loop_
_symmetry_equiv_pos_as_xyz
'x,y,z'
loop_
_atom_site_label
_atom_site_type_symbol
_atom_site_fract_x
_atom_site_fract_y
_atom_site_fract_z
Mg1 Mg 0.312 0.442 0.282
Mg2 Mg 0.688 0.558 0.718
Mg3 Mg 0.812 0.058 0.282
Mg4 Mg 0.188 0.942 0.718
H1 H 0.736 0.024 0.928
H2 H 0.236 0.476 0.928
H3 H 0.764 0.524 0.072
H4 H 0.264 0.976 0.072
H5 H 0.852 0.322 0.528
H6 H 0.352 0.178 0.528
H7 H 0.648 0.822 0.472
H8 H 0.148 0.678 0.472
Pd1 Pd 0.496 0.250 0.983
Pd2 Pd 0.996 0.250 0.983
Pd3 Pd 0.004 0.750 0.017
Pd4 Pd 0.504 0.750 0.017
Pd5 Pd 0.815 0.562 0.352
Pd6 Pd 0.315 0.938 0.352
Pd7 Pd 0.685 0.062 0.648
Pd8 Pd 0.185 0.438 0.648

***

No. 2
# Mg2H5Pd3 | Alexandria | PBE-GGA | relaxed
# ρ: 6.07 Mg/m³
# E: -3.829 eV/atom
# Calculated volume: 102 Å³/f.u.
# Space-group type: Ibam (72)
data_Mg2H5Pd3
_cell_length_a 5.213
_cell_length_b 7.186
_cell_length_c 7.186
_cell_angle_alpha 56.28
_cell_angle_beta 68.73
_cell_angle_gamma 68.73
_symmetry_space_group_name_H-M 'P 1'
_symmetry_Int_Tables_number 1
loop_
_symmetry_equiv_pos_as_xyz
'x,y,z'
loop_
_atom_site_label
_atom_site_type_symbol
_atom_site_fract_x
_atom_site_fract_y
_atom_site_fract_z
Mg1 Mg 0.164 0.611 0.061
Mg2 Mg 0.664 0.061 0.611
Mg3 Mg 0.836 0.389 0.939
Mg4 Mg 0.336 0.939 0.389
H1 H 0.399 0.205 0.998
H2 H 0.899 0.998 0.205
H3 H 0.601 0.795 0.002
H4 H 0.101 0.002 0.795
H5 H 0.559 0.691 0.691
H6 H 0.441 0.309 0.309
H7 H 0.750 0.500 0.500
H8 H 0.250 0.500 0.500
H9 H 0.941 0.309 0.309
H10 H 0.059 0.691 0.691
Pd1 Pd 0.395 0.483 0.728
Pd2 Pd 0.895 0.728 0.483
Pd3 Pd 0.605 0.517 0.272
Pd4 Pd 0.105 0.272 0.517
Pd5 Pd 0.250 0.000 0.000
Pd6 Pd 0.750 0.000 0.000

***

No. 3
# MgH2Pd5 | Alexandria | PBE-GGA | relaxed
# ρ: 8.89 Mg/m³
# E: -4.498 eV/atom
# Calculated volume: 104 Å³/f.u.
# Space-group type: I4/mmm (139)
data_MgH2Pd5
_cell_length_a 3.908
_cell_length_b 3.908
_cell_length_c 7.371
_cell_angle_alpha 105.37
_cell_angle_beta 105.37
_cell_angle_gamma 90.00
_symmetry_space_group_name_H-M 'P 1'
_symmetry_Int_Tables_number 1
loop_
_symmetry_equiv_pos_as_xyz
'x,y,z'
loop_
_atom_site_label
_atom_site_type_symbol
_atom_site_fract_x
_atom_site_fract_y
_atom_site_fract_z
Mg1 Mg 0.500 0.500 0.000
H1 H 0.151 0.151 0.302
H2 H 0.849 0.849 0.698
Pd1 Pd 0.650 0.150 0.300
Pd2 Pd 0.150 0.650 0.300
Pd3 Pd 0.850 0.350 0.700
Pd4 Pd 0.350 0.850 0.700
Pd5 Pd 0.000 0.000 0.000

***

No. 4
# Mg2H12Pd7 | Alexandria | PBE-GGA | relaxed
# ρ: 6.86 Mg/m³
# E: -3.883 eV/atom
# Calculated volume: 195 Å³/f.u.
# Space-group type: P-3 (147)
data_Mg2H12Pd7
_cell_length_a 4.426
_cell_length_b 7.133
_cell_length_c 7.133
_cell_angle_alpha 120.00
_cell_angle_beta 90.00
_cell_angle_gamma 90.00
_symmetry_space_group_name_H-M 'P 1'
_symmetry_Int_Tables_number 1
loop_
_symmetry_equiv_pos_as_xyz
'x,y,z'
loop_
_atom_site_label
_atom_site_type_symbol
_atom_site_fract_x
_atom_site_fract_y
_atom_site_fract_z
Mg1 Mg 0.264 0.333 0.667
Mg2 Mg 0.736 0.667 0.333
H1 H 0.088 0.654 0.103
H2 H 0.088 0.450 0.346
H3 H 0.088 0.897 0.550
H4 H 0.912 0.346 0.897
H5 H 0.912 0.550 0.654
H6 H 0.912 0.103 0.450
H7 H 0.319 0.104 0.251
H8 H 0.319 0.147 0.896
H9 H 0.319 0.749 0.853
H10 H 0.681 0.896 0.749
H11 H 0.681 0.853 0.104
H12 H 0.681 0.251 0.147
Pd1 Pd 0.500 0.000 0.000
Pd2 Pd 0.248 0.911 0.329
Pd3 Pd 0.248 0.419 0.089
Pd4 Pd 0.248 0.671 0.581
Pd5 Pd 0.752 0.089 0.671
Pd6 Pd 0.752 0.581 0.911
Pd7 Pd 0.752 0.329 0.419

***

No. 5
# Mg2H3Pd | Alexandria | PBE-GGA | relaxed
# ρ: 4.01 Mg/m³
# E: -3.316 eV/atom
# Calculated volume: 65 Å³/f.u.
# Space-group type: C2/m (12)
data_Mg2H3Pd
_cell_length_a 3.079
_cell_length_b 5.802
_cell_length_c 8.194
_cell_angle_alpha 68.89
_cell_angle_beta 79.17
_cell_angle_gamma 74.61
_symmetry_space_group_name_H-M 'P 1'
_symmetry_Int_Tables_number 1
loop_
_symmetry_equiv_pos_as_xyz
'x,y,z'
loop_
_atom_site_label
_atom_site_type_symbol
_atom_site_fract_x
_atom_site_fract_y
_atom_site_fract_z
Mg1 Mg 0.497 0.225 0.782
Mg2 Mg 0.503 0.775 0.218
Mg3 Mg 0.197 0.240 0.365
Mg4 Mg 0.803 0.760 0.635
H1 H 0.658 0.148 0.536
H2 H 0.969 0.408 0.654
H3 H 0.296 0.606 0.802
H4 H 0.704 0.394 0.198
H5 H 0.031 0.592 0.346
H6 H 0.342 0.852 0.464
Pd1 Pd 0.135 0.810 0.920
Pd2 Pd 0.865 0.190 0.080

***

No. 6
# MgH4Pd2 | Alexandria | PBE-GGA | relaxed
# ρ: 6.50 Mg/m³
# E: -3.766 eV/atom
# Relative energy among the computed polymorphs: 0.031 eV/atom
# Calculated volume: 62 Å³/f.u.
# Space-group type: Cmcm (63)
data_MgH4Pd2
_cell_length_a 3.136
_cell_length_b 5.025
_cell_length_c 8.236
_cell_angle_alpha 90.00
_cell_angle_beta 90.00
_cell_angle_gamma 108.18
_symmetry_space_group_name_H-M 'P 1'
_symmetry_Int_Tables_number 1
loop_
_symmetry_equiv_pos_as_xyz
'x,y,z'
loop_
_atom_site_label
_atom_site_type_symbol
_atom_site_fract_x
_atom_site_fract_y
_atom_site_fract_z
Mg1 Mg 0.602 0.203 0.750
Mg2 Mg 0.398 0.797 0.250
H1 H 0.751 0.503 0.110
H2 H 0.751 0.503 0.390
H3 H 0.249 0.497 0.890
H4 H 0.249 0.497 0.610
H5 H 0.958 0.917 0.750
H6 H 0.042 0.083 0.250
H7 H 0.500 0.000 0.000
H8 H 0.500 0.000 0.500
Pd1 Pd 0.135 0.270 0.436
Pd2 Pd 0.865 0.730 0.936
Pd3 Pd 0.135 0.270 0.064
Pd4 Pd 0.865 0.730 0.564

***

No. 7
# MgHPd4 | Alexandria | PBE-GGA | relaxed
# ρ: 9.18 Mg/m³
# E: -4.591 eV/atom
# Relative energy among the computed polymorphs: 0.000 eV/atom
# Calculated volume: 82 Å³/f.u.
# Space-group type: C2/c (15)
data_MgHPd4
_cell_length_a 4.858
_cell_length_b 7.572
_cell_length_c 6.018
_cell_angle_alpha 119.05
_cell_angle_beta 100.36
_cell_angle_gamma 110.84
_symmetry_space_group_name_H-M 'P 1'
_symmetry_Int_Tables_number 1
loop_
_symmetry_equiv_pos_as_xyz
'x,y,z'
loop_
_atom_site_label
_atom_site_type_symbol
_atom_site_fract_x
_atom_site_fract_y
_atom_site_fract_z
Mg1 Mg 0.375 0.625 0.251
Mg2 Mg 0.625 0.375 0.749
H1 H 0.254 0.004 0.008
H2 H 0.746 0.996 0.992
Pd1 Pd 0.038 0.183 0.756
Pd2 Pd 0.816 0.766 0.737
Pd3 Pd 0.218 0.573 0.756
Pd4 Pd 0.421 0.970 0.737
Pd5 Pd 0.579 0.030 0.263
Pd6 Pd 0.782 0.427 0.244
Pd7 Pd 0.184 0.234 0.263
Pd8 Pd 0.962 0.817 0.244

***

No. 8
# MgH4Pd3 | Alexandria | PBE-GGA | relaxed
# ρ: 7.25 Mg/m³
# E: -4.057 eV/atom
# Calculated volume: 80 Å³/f.u.
# Space-group type: Pmn2_1 (31)
data_MgH4Pd3
_cell_length_a 4.990
_cell_length_b 5.360
_cell_length_c 5.954
_cell_angle_alpha 90.00
_cell_angle_beta 90.00
_cell_angle_gamma 90.00
_symmetry_space_group_name_H-M 'P 1'
_symmetry_Int_Tables_number 1
loop_
_symmetry_equiv_pos_as_xyz
'x,y,z'
loop_
_atom_site_label
_atom_site_type_symbol
_atom_site_fract_x
_atom_site_fract_y
_atom_site_fract_z
Mg1 Mg 0.006 0.148 0.000
Mg2 Mg 0.506 0.852 0.500
H1 H 0.152 0.768 0.000
H2 H 0.588 0.172 0.000
H3 H 0.139 0.353 0.286
H4 H 0.639 0.647 0.214
H5 H 0.088 0.828 0.500
H6 H 0.652 0.232 0.500
H7 H 0.639 0.647 0.786
H8 H 0.139 0.353 0.714
Pd1 Pd 0.503 0.851 0.000
Pd2 Pd 0.994 0.660 0.250
Pd3 Pd 0.494 0.340 0.250
Pd4 Pd 0.003 0.149 0.500
Pd5 Pd 0.494 0.340 0.750
Pd6 Pd 0.994 0.660 0.750